# K2MoIr | the Alexandria database | PBE | relaxed
data_K2MoIr
_chemical_formula_sum 'K2 Mo1 Ir1'
_symmetry_space_group_name_H-M 'P 1'
_symmetry_Int_Tables_number 1
_symmetry_space_group_name_Hall 'P 1'
_cell_length_a 5.832
_cell_length_b 3.826
_cell_length_c 3.826
_cell_angle_alpha 90.00
_cell_angle_beta 90.00
_cell_angle_gamma 90.00
loop_
_atom_site_label
_atom_site_type_symbol
_atom_site_fract_x
_atom_site_fract_y
_atom_site_fract_z
Ir1 Ir 0.500 0.000 0.500
K1 K 0.000 0.000 0.000
K2 K 0.000 0.500 0.500
Mo1 Mo 0.500 0.500 0.000
# VASP energy ... -4.3712 eV/atom
# Formation energy from the elements ... 1.1006 eV/atom
# Spin magnetization ... 0.000 Bohr magnetons per cell
# Density of states at the Fermi level ... 2.16 states/eV/f.u.
# Energy above the most stable polymorph in this dataset ... 11.89 kcal/mol of atoms

# KMo2Ir | the Alexandria database | PBE | relaxed
data_KMo2Ir
_chemical_formula_sum 'K1 Mo2 Ir1'
_symmetry_space_group_name_H-M 'P 1'
_symmetry_Int_Tables_number 1
_symmetry_space_group_name_Hall 'P 1'
_cell_length_a 2.753
_cell_length_b 3.986
_cell_length_c 8.219
_cell_angle_alpha 90.00
_cell_angle_beta 90.00
_cell_angle_gamma 90.00
loop_
_atom_site_label
_atom_site_type_symbol
_atom_site_fract_x
_atom_site_fract_y
_atom_site_fract_z
Ir1 Ir 0.500 0.500 0.250
K1 K 0.500 0.500 0.750
Mo1 Mo 0.000 0.000 0.100
Mo2 Mo 0.000 0.000 0.400
# VASP energy ... -7.2366 eV/atom
# Formation energy from the elements ... 0.6686 eV/atom
# Spin magnetization ... 0.000 Bohr magnetons per cell
# Density of states at the Fermi level ... 3.39 states/eV/f.u.
# Energy above the most stable polymorph in this dataset ... 1.67 kcal/mol of atoms

# KMoIr2 | the Alexandria database | PBE | relaxed
data_KMoIr2
_chemical_formula_sum 'K1 Mo1 Ir2'
_symmetry_space_group_name_H-M 'P 1'
_symmetry_Int_Tables_number 1
_symmetry_space_group_name_Hall 'P 1'
_cell_length_a 5.710
_cell_length_b 5.710
_cell_length_c 5.710
_cell_angle_alpha 148.22
_cell_angle_beta 122.49
_cell_angle_gamma 67.22
loop_
_atom_site_label
_atom_site_type_symbol
_atom_site_fract_x
_atom_site_fract_y
_atom_site_fract_z
Ir1 Ir 0.050 0.050 0.000
Ir2 Ir 0.450 0.450 0.000
K1 K 0.750 0.250 0.500
Mo1 Mo 0.250 0.750 0.500
# VASP energy ... -6.4083 eV/atom
# Formation energy from the elements ... 1.0044 eV/atom
# Spin magnetization ... 0.671 Bohr magnetons per cell
# Density of states at the Fermi level ... 3.02 states/eV/f.u.
# Energy above the most stable polymorph in this dataset ... 16.29 kcal/mol of atoms

# KMoIr2 | the Alexandria database | PBE | relaxed
data_KMoIr2
_chemical_formula_sum 'K1 Mo1 Ir2'
_symmetry_space_group_name_H-M 'P 1'
_symmetry_Int_Tables_number 1
_symmetry_space_group_name_Hall 'P 1'
_cell_length_a 6.742
_cell_length_b 5.131
_cell_length_c 2.728
_cell_angle_alpha 90.00
_cell_angle_beta 66.14
_cell_angle_gamma 123.33
loop_
_atom_site_label
_atom_site_type_symbol
_atom_site_fract_x
_atom_site_fract_y
_atom_site_fract_z
Ir1 Ir 0.000 0.000 0.000
Ir2 Ir 0.500 0.000 0.500
K1 K 0.000 0.500 0.500
Mo1 Mo 0.500 0.500 0.000
# VASP energy ... -6.4594 eV/atom
# Formation energy from the elements ... 0.9533 eV/atom
# Spin magnetization ... 0.000 Bohr magnetons per cell
# Density of states at the Fermi level ... 5.10 states/eV/f.u.
# Energy above the most stable polymorph in this dataset ... 15.11 kcal/mol of atoms

Among the records above, which one has the highest energy above the most stable polymorph in this dataset? number 3